Entry 1:
A geometry-optimized La6GaPt structure, computed with PBE-GGA.

Unit cell a=7.024 b=7.033 c=7.950 alpha=63.76 beta=89.99 gamma=60.07
Space group P-1 (No. 2)
One atom of each set of equivalent atoms:
La 0.054 0.168 0.261 x2
La 0.224 0.207 0.739 x2
La 0.429 0.516 0.261 x2
Ga 0.500 0.000 0.500 x1
Pt 0.000 0.000 0.000 x1

Computed properties:
* magnetization: 0.0 μB/f.u.
* raw total energy: -5.101 eV per atom
* energy of formation from the pure elements: -210 kJ/mol of formula units

Entry 2:
A geometry-optimized La3Ga9Pt2 structure, computed with PBE-GGA.

Unit cell a=4.381 b=10.175 c=12.707 alpha=90.00 beta=90.00 gamma=90.00
Space group Immm (No. 71)
One atom of each set of equivalent atoms:
La 0.000 0.000 0.000 x2
La 0.000 0.000 0.321 x4
Ga 0.000 0.275 0.128 x8
Ga 0.000 0.370 0.331 x8
Ga 0.000 0.500 0.000 x2
Pt 0.000 0.228 0.500 x4

Computed properties:
* magnetization: 0.0 μB/f.u.
* raw total energy: -4.581 eV per atom
* energy of formation from the pure elements: -968 kJ/mol of formula units

Entry 3:
A geometry-optimized LaGa2Pt5 structure, computed with PBE-GGA.

Unit cell a=3.979 b=7.234 c=10.054 alpha=90.00 beta=90.00 gamma=90.00
Space group Immm (No. 71)
One atom of each set of equivalent atoms:
La 0.000 0.000 0.000 x2
Ga 0.000 0.500 0.247 x4
Pt 0.000 0.197 0.358 x8
Pt 0.000 0.500 0.000 x2

Computed properties:
* magnetization: 0.0 μB/f.u.
* raw total energy: -5.945 eV per atom
* energy of formation from the pure elements: -615 kJ/mol of formula units

Q: Look up the magnetization of the third one.
A: 0.0 μB/f.u.

Q: Number 2 is which compound?
A: La3Ga9Pt2

Q: Which formula does entry 1 have?
A: La6GaPt